Compound: Ba2VSiO6
Source: Alexandria
Functional: GGA+U
Structure: relaxed

Unit cell a=5.6925 b=5.6925 c=27.2805 alpha=90.00 beta=90.00 gamma=120.00
Space group R-3m (No. 166, hexagonal axes)
Symmetry-distinct sites (fractional):
1 Ba 0.0000 0.0000 0.1289 (multiplicity 6)
2 Ba 0.0000 0.0000 0.2845 (multiplicity 6)
3 V 0.0000 0.0000 0.4070 (multiplicity 6)
4 Si 0.0000 0.0000 0.0000 (multiplicity 3)
5 Si 0.0000 0.0000 0.5000 (multiplicity 3)
6 O 0.0198 0.5099 0.7050 (multiplicity 18)
7 O 0.0447 0.5223 0.1251 (multiplicity 18)

Output
- Total DFT energy (no corrections): -7.20 eV/atom

***

Compound: BaVSiO2
Source: Alexandria
Functional: GGA+U
Structure: relaxed

Unit cell a=4.0123 b=4.0123 c=5.6143 alpha=90.00 beta=90.00 gamma=90.00
Space group P4/mmm (No. 123)
Symmetry-distinct sites (fractional):
1 Ba 0.0000 0.0000 0.0000 (multiplicity 1)
2 V 0.5000 0.5000 0.0000 (multiplicity 1)
3 Si 0.0000 0.0000 0.5000 (multiplicity 1)
4 O 0.0000 0.5000 0.5000 (multiplicity 2)

Output
- Total DFT energy (no corrections): -4.61 eV/atom
- DOS(E_F): 0.442 states/eV per atom

***

Compound: Ba2SiWO6
Source: Alexandria
Functional: GGA+U
Structure: relaxed

Unit cell a=8.4368 b=8.4368 c=8.4368 alpha=90.00 beta=90.00 gamma=90.00
Space group Fm-3m (No. 225)
Symmetry-distinct sites (fractional):
1 Ba 0.2500 0.2500 0.2500 (multiplicity 8)
2 Si 0.0000 0.0000 0.0000 (multiplicity 4)
3 W 0.0000 0.0000 0.5000 (multiplicity 4)
4 O 0.0000 0.0000 0.2672 (multiplicity 24)

Output
- Total DFT energy (no corrections): -6.79 eV/atom